VASP calculation (PBE) on a relaxed TmIn2RuO8 crystal.

a = 4.947 Å, b = 4.935 Å, c = 6.533 Å
α = 90.00°, β = 90.00°, γ = 91.16°
Element x y z (fractional)
Tm 0.000 0.000 0.500
In 0.500 0.500 0.751
In 0.500 0.500 0.249
Ru 0.000 0.000 0.000
O 0.183 0.815 0.214
O 0.716 0.718 0.000
O 0.817 0.185 0.214
O 0.817 0.185 0.786
O 0.284 0.282 0.000
O 0.183 0.815 0.786
O 0.692 0.695 0.500
O 0.308 0.305 0.500

Summary:
E_form (uncorrected) = -1556 meV/atom
Mass density = 6.536 g/cm3

VASP calculation (PBE) on a relaxed TmInRuO6 crystal.

a = 4.901 Å, b = 4.901 Å, c = 9.757 Å
α = 90.00°, β = 90.00°, γ = 90.00°
Element x y z (fractional)
Tm 0.500 0.500 0.165
Tm 0.000 0.000 0.665
In 0.500 0.500 0.500
In 0.000 0.000 0.000
Ru 0.500 0.500 0.835
Ru 0.000 0.000 0.335
O 0.190 0.810 0.482
O 0.810 0.190 0.482
O 0.310 0.310 0.982
O 0.690 0.690 0.982
O 0.185 0.815 0.184
O 0.815 0.185 0.184
O 0.315 0.315 0.684
O 0.685 0.685 0.684
O 0.779 0.221 0.834
O 0.221 0.779 0.834
O 0.721 0.721 0.334
O 0.279 0.279 0.334

Summary:
E_form (uncorrected) = -1717 meV/atom
Mass density = 6.814 g/cm3

Question: What is the formula in the first record?
Answer: TmIn2RuO8